Entry 1:
DFT (PBE) results for an optimized crystal structure of Pu3Si4Rh4.

The calculation puts the magnetic moment at 29.71 μB per cell.

Lattice parameters (Å, degrees): 4.082 6.944 13.465 90.00 90.00 90.00
Space group Immm (No. 71)
Unique sites:
Pu 0.000 0.000 0.000 (multiplicity 2)
Pu 0.000 0.500 0.121 (multiplicity 4)
Si 0.000 0.000 0.217 (multiplicity 4)
Si 0.000 0.192 0.500 (multiplicity 4)
Rh 0.000 0.300 0.325 (multiplicity 8)

Entry 2:
DFT (PBE) results for an optimized crystal structure of PuSi2Rh2.

The calculation puts the magnetic moment at 42.10 μB per cell.

Lattice parameters (Å, degrees): 5.501 10.008 12.701 90.00 90.00 90.00
Space group Fddd (No. 70, origin choice 2)
Unique sites:
Pu 0.125 0.125 0.125 (multiplicity 8)
Si 0.125 0.125 0.520 (multiplicity 16)
Rh 0.125 0.323 0.625 (multiplicity 16)

Entry 3:
DFT (PBE) results for an optimized crystal structure of Pu2Si3Rh.

The calculation puts the magnetic moment at 0.01 μB per cell.

Lattice parameters (Å, degrees): 7.923 8.229 14.156 90.00 90.00 90.00
Space group Fmmm (No. 69)
Unique sites:
Pu 0.245 0.000 0.000 (multiplicity 8)
Pu 0.250 0.250 0.250 (multiplicity 8)
Si 0.000 0.000 0.334 (multiplicity 8)
Si 0.000 0.245 0.417 (multiplicity 16)
Rh 0.000 0.000 0.164 (multiplicity 8)

Entry 4:
DFT (PBE) results for an optimized crystal structure of PuSiRh4.

The calculation puts the magnetic moment at 7.38 μB per cell.

Lattice parameters (Å, degrees): 7.411 3.845 6.768 90.00 90.00 90.00
Space group Pmma (No. 51)
Unique sites:
Pu 0.250 0.000 0.134 (multiplicity 2)
Si 0.250 0.000 0.715 (multiplicity 2)
Rh 0.000 0.000 0.500 (multiplicity 2)
Rh 0.058 0.500 0.805 (multiplicity 4)
Rh 0.250 0.500 0.436 (multiplicity 2)

Entry 5:
DFT (PBE) results for an optimized crystal structure of PuSi4Rh6.

The calculation puts the magnetic moment at 4.95 μB per cell.

Lattice parameters (Å, degrees): 7.0474 7.0474 3.7807 90.00 90.00 120.00
Space group P-6m2 (No. 187)
Unique sites:
Pu 0.0000 0.0000 0.0000 (multiplicity 1)
Si 0.3333 0.6667 0.0000 (multiplicity 1)
Si 0.4009 0.2004 0.5000 (multiplicity 3)
Rh 0.1982 0.3963 0.5000 (multiplicity 3)
Rh 0.5328 0.0656 0.0000 (multiplicity 3)

Entry 6:
DFT (PBE) results for an optimized crystal structure of PuSi2Rh5.

The calculation puts the magnetic moment at 9.13 μB per cell.

Lattice parameters (Å, degrees): 3.846 6.799 9.706 90.00 90.00 90.00
Space group Immm (No. 71)
Unique sites:
Pu 0.000 0.000 0.000 (multiplicity 2)
Si 0.000 0.500 0.239 (multiplicity 4)
Rh 0.000 0.202 0.355 (multiplicity 8)
Rh 0.000 0.500 0.000 (multiplicity 2)

Entry 7:
DFT (PBE) results for an optimized crystal structure of Pu2Si4Rh5.

The calculation puts the magnetic moment at 43.78 μB per cell.

Lattice parameters (Å, degrees): 5.615 9.614 13.941 90.00 90.00 90.00
Space group Fmmm (No. 69)
Unique sites:
Pu 0.000 0.000 0.125 (multiplicity 8)
Si 0.000 0.151 0.367 (multiplicity 16)
Rh 0.000 0.000 0.500 (multiplicity 4)
Rh 0.250 0.250 0.000 (multiplicity 8)
Rh 0.250 0.250 0.250 (multiplicity 8)

Entry 8:
DFT (PBE) results for an optimized crystal structure of Pu3Si2Rh3.

The calculation puts the magnetic moment at 63.13 μB per cell.

Lattice parameters (Å, degrees): 7.537 14.679 5.590 90.00 90.00 90.00
Space group Pnma (No. 62)
Unique sites:
Pu 0.026 0.111 0.135 (multiplicity 8)
Pu 0.176 0.250 0.594 (multiplicity 4)
Si 0.120 0.603 0.360 (multiplicity 8)
Rh 0.171 0.035 0.591 (multiplicity 8)
Rh 0.184 0.750 0.580 (multiplicity 4)

Entry 9:
DFT (PBE) results for an optimized crystal structure of PuSi2TcRh.

The calculation puts the magnetic moment at 10.56 μB per cell.

Lattice parameters (Å, degrees): 4.168 4.168 9.830 90.00 90.00 90.00
Space group I-4m2 (No. 119)
Unique sites:
Pu 0.000 0.000 0.000 (multiplicity 2)
Si 0.000 0.000 0.373 (multiplicity 4)
Tc 0.000 0.500 0.750 (multiplicity 2)
Rh 0.000 0.500 0.250 (multiplicity 2)

Entry 10:
DFT (PBE) results for an optimized crystal structure of PuTh2Si2Rh7.

The calculation puts the magnetic moment at 7.81 μB per cell.

Lattice parameters (Å, degrees): 5.744 5.699 13.426 90.00 98.09 90.00
Space group C2/m (No. 12)
Unique sites:
Pu 0.000 0.000 0.000 (multiplicity 2)
Th 0.109 0.000 0.349 (multiplicity 4)
Si 0.082 0.500 0.251 (multiplicity 4)
Rh 0.000 0.500 0.000 (multiplicity 2)
Rh 0.145 0.500 0.428 (multiplicity 4)
Rh 0.198 0.250 0.841 (multiplicity 8)

Entry 11:
DFT (PBE) results for an optimized crystal structure of TmPuSiRh.

The calculation puts the magnetic moment at 19.18 μB per cell.

Lattice parameters (Å, degrees): 6.904 6.904 6.904 90.00 90.00 90.00
Space group F-43m (No. 216)
Unique sites:
Tm 0.000 0.000 0.000 (multiplicity 4)
Pu 0.000 0.000 0.500 (multiplicity 4)
Si 0.250 0.250 0.250 (multiplicity 4)
Rh 0.250 0.250 0.750 (multiplicity 4)

Entry 12:
DFT (PBE) results for an optimized crystal structure of Sm5PuRh6.

The formation energy comes out at -653.3 meV/atom. The calculation puts the magnetic moment at 4.65 μB per cell.

Lattice parameters (Å, degrees): 4.902 7.049 7.770 90.00 108.24 90.00
Space group P2/m (No. 10)
Unique sites:
Sm 0.000 0.000 0.000 (multiplicity 1)
Sm 0.333 0.000 0.666 (multiplicity 2)
Sm 0.334 0.500 0.668 (multiplicity 2)
Pu 0.000 0.500 0.000 (multiplicity 1)
Rh 0.164 0.252 0.328 (multiplicity 4)
Rh 0.500 0.257 0.000 (multiplicity 2)

Entry 13:
DFT (PBE) results for an optimized crystal structure of SmPu8Rh6.

The formation energy comes out at -181.7 meV/atom. The calculation puts the magnetic moment at 27.07 μB per cell.

Lattice parameters (Å, degrees): 6.2935 6.2935 26.0542 90.00 90.00 120.00
Space group R-3 (No. 148, hexagonal axes)
Unique sites:
Sm 0.0000 0.0000 0.0000 (multiplicity 3)
Pu 0.0000 0.0000 0.3131 (multiplicity 6)
Pu 0.0006 0.3390 0.5231 (multiplicity 18)
Rh 0.0033 0.7343 0.5964 (multiplicity 18)

Entry 14:
DFT (PBE) results for an optimized crystal structure of SmPu2Rh9.

The formation energy comes out at -420.8 meV/atom. The calculation puts the magnetic moment at 25.44 μB per cell.

Lattice parameters (Å, degrees): 5.2694 5.2694 26.3072 90.00 90.00 120.00
Space group R-3m (No. 166, hexagonal axes)
Unique sites:
Sm 0.0000 0.0000 0.0000 (multiplicity 3)
Pu 0.0000 0.0000 0.1401 (multiplicity 6)
Rh 0.0000 0.0000 0.3333 (multiplicity 6)
Rh 0.0000 0.0000 0.5000 (multiplicity 3)
Rh 0.0029 0.5014 0.9164 (multiplicity 18)

Entry 15:
DFT (PBE) results for an optimized crystal structure of Sm5PuRh4.

The formation energy comes out at -540.1 meV/atom. The calculation puts the magnetic moment at 10.32 μB per cell.

Lattice parameters (Å, degrees): 15.263 4.713 7.015 90.00 95.92 90.00
Space group C2/m (No. 12)
Unique sites:
Sm 0.000 0.000 0.000 (multiplicity 2)
Sm 0.166 0.500 0.040 (multiplicity 4)
Sm 0.167 0.500 0.539 (multiplicity 4)
Pu 0.000 0.000 0.500 (multiplicity 2)
Rh 0.005 0.500 0.265 (multiplicity 4)
Rh 0.157 0.000 0.770 (multiplicity 4)

Entry 16:
DFT (PBE) results for an optimized crystal structure of SmPu2Rh.

The formation energy comes out at 104.5 meV/atom. The calculation puts the magnetic moment at 34.47 μB per cell. The value obtained for the energy above the most stable polymorph in this dataset is 233 meV/atom.

Lattice parameters (Å, degrees): 3.5465 3.5465 30.4580 90.00 90.00 120.00
Space group R-3m (No. 166, hexagonal axes)
Unique sites:
Sm 0.0000 0.0000 0.0000 (multiplicity 3)
Pu 0.0000 0.0000 0.1047 (multiplicity 6)
Rh 0.0000 0.0000 0.5000 (multiplicity 3)

Entry 17:
DFT (PBE) results for an optimized crystal structure of Sm2PuRh.

The formation energy comes out at 38.8 meV/atom. The calculation puts the magnetic moment at 26.77 μB per cell. The value obtained for the energy above the most stable polymorph in this dataset is 286 meV/atom.

Lattice parameters (Å, degrees): 7.329 7.329 7.329 90.00 90.00 90.00
Space group Fm-3m (No. 225)
Unique sites:
Sm 0.250 0.250 0.250 (multiplicity 8)
Pu 0.000 0.000 0.000 (multiplicity 4)
Rh 0.000 0.000 0.500 (multiplicity 4)

Entry 18:
DFT (PBE) results for an optimized crystal structure of Sm2PuRh9.

The formation energy comes out at -462.8 meV/atom. The calculation puts the magnetic moment at 13.28 μB per cell.

Lattice parameters (Å, degrees): 5.2815 5.2815 26.5301 90.00 90.00 120.00
Space group R-3m (No. 166, hexagonal axes)
Unique sites:
Sm 0.0000 0.0000 0.1386 (multiplicity 6)
Pu 0.0000 0.0000 0.0000 (multiplicity 3)
Rh 0.0000 0.0000 0.3331 (multiplicity 6)
Rh 0.0000 0.0000 0.5000 (multiplicity 3)
Rh 0.0000 0.5000 0.0820 (multiplicity 18)

Entry 19:
DFT (PBE) results for an optimized crystal structure of SmPu2Rh.

The formation energy comes out at -128.9 meV/atom. The calculation puts the magnetic moment at 11.23 μB per cell. The value obtained for the energy above the most stable polymorph in this dataset is 0 meV/atom.

Lattice parameters (Å, degrees): 3.566 3.566 7.895 90.00 90.00 90.00
Space group P4/mmm (No. 123)
Unique sites:
Sm 0.000 0.000 0.000 (multiplicity 1)
Pu 0.500 0.500 0.305 (multiplicity 2)
Rh 0.000 0.000 0.500 (multiplicity 1)

Entry 20:
DFT (PBE) results for an optimized crystal structure of Sm2PuRh.

The formation energy comes out at -247.6 meV/atom. The calculation puts the magnetic moment at 7.10 μB per cell. The value obtained for the energy above the most stable polymorph in this dataset is 0 meV/atom.

Lattice parameters (Å, degrees): 3.534 3.534 8.521 90.00 90.00 90.00
Space group P4/mmm (No. 123)
Unique sites:
Sm 0.000 0.000 0.197 (multiplicity 2)
Pu 0.500 0.500 0.500 (multiplicity 1)
Rh 0.500 0.500 0.000 (multiplicity 1)

Entry 21:
DFT (PBE) results for an optimized crystal structure of Sm2Pu2Rh3.

The formation energy comes out at -358.3 meV/atom. The calculation puts the magnetic moment at 22.20 μB per cell.

Lattice parameters (Å, degrees): 13.416 3.770 7.323 90.00 113.59 90.00
Space group C2/m (No. 12)
Unique sites:
Sm 0.010 0.000 0.225 (multiplicity 4)
Pu 0.220 0.500 0.704 (multiplicity 4)
Rh 0.000 0.500 0.500 (multiplicity 2)
Rh 0.161 0.500 0.033 (multiplicity 4)

Entry 22:
DFT (PBE) results for an optimized crystal structure of SmPuRh4.

The formation energy comes out at -570.7 meV/atom. The calculation puts the magnetic moment at 19.88 μB per cell.

Lattice parameters (Å, degrees): 7.585 7.585 7.585 90.00 90.00 90.00
Space group F-43m (No. 216)
Unique sites:
Sm 0.000 0.000 0.000 (multiplicity 4)
Pu 0.250 0.250 0.250 (multiplicity 4)
Rh 0.125 0.125 0.625 (multiplicity 16)

Number 1: total DFT energy (no corrections) -9.2983 eV/atom. Number 2: total DFT energy (no corrections) -8.6437 eV/atom. Number 3: total DFT energy (no corrections) -9.3265 eV/atom. Number 4: total DFT energy (no corrections) -8.7023 eV/atom. Number 5: total DFT energy (no corrections) -8.1808 eV/atom. Number 6: total DFT energy (no corrections) -8.4205 eV/atom. Number 7: total DFT energy (no corrections) -8.7062 eV/atom. Number 8: total DFT energy (no corrections) -10.1666 eV/atom. Number 9: total DFT energy (no corrections) -9.2869 eV/atom. Number 10: total DFT energy (no corrections) -8.4469 eV/atom. Number 11: total DFT energy (no corrections) -8.3675 eV/atom. Number 12: total DFT energy (no corrections) -7.4896 eV/atom. Number 13: total DFT energy (no corrections) -11.0806 eV/atom. Number 14: total DFT energy (no corrections) -8.7163 eV/atom. Number 15: total DFT energy (no corrections) -7.2735 eV/atom. Number 16: total DFT energy (no corrections) -10.0792 eV/atom. Number 17: total DFT energy (no corrections) -7.7416 eV/atom. Number 18: total DFT energy (no corrections) -7.9573 eV/atom. Number 19: total DFT energy (no corrections) -10.3126 eV/atom. Number 20: total DFT energy (no corrections) -8.0281 eV/atom. Number 21: total DFT energy (no corrections) -8.9521 eV/atom. Number 22: total DFT energy (no corrections) -8.6468 eV/atom.